Entry 1:
Material: Mo2IrPb
Method: DFT, PBE
State: optimized geometry Values from VASP.

Cell and atoms, written as Quantum ESPRESSO input:
```
&SYSTEM
  ibrav = 0, nat = 4, ntyp = 3
/
ATOMIC_SPECIES
Ir 192.22 Ir.upf
Mo 95.94 Mo.upf
Pb 207.20 Pb.upf
CELL_PARAMETERS angstrom
-1.204 1.742 3.123
0.089 -3.508 1.991
4.296 0.797 1.212
ATOMIC_POSITIONS crystal
Ir 0.000 0.500 0.500
Mo 0.000 0.000 0.000
Mo 0.500 0.500 0.000
Pb 0.500 0.000 0.500
```

Summary:
- Energy: -32.206 eV/f.u.
- Energy relative to the elements: 506 meV/atom
- Symmetry: Pmmm (47)



Entry 2:
Material: MoIr2Pb
Method: DFT, PBE
State: optimized geometry Values from VASP.

Cell and atoms, written as Quantum ESPRESSO input:
```
&SYSTEM
  ibrav = 0, nat = 4, ntyp = 3
/
ATOMIC_SPECIES
Ir 192.22 Ir.upf
Mo 95.94 Mo.upf
Pb 207.20 Pb.upf
CELL_PARAMETERS angstrom
-5.427 7.908 -0.565
-5.388 7.186 -3.412
-7.360 5.961 -1.613
ATOMIC_POSITIONS crystal
Ir 0.990 0.990 0.990
Ir 0.510 0.510 0.510
Mo 0.250 0.250 0.250
Pb 0.750 0.750 0.750
```

Summary:
- Energy: -31.096 eV/f.u.
- Energy relative to the elements: 291 meV/atom
- Symmetry: R-3m (166)